1.
Mg2NiAu | PBE | relaxed

The size of the total moment comes out at 0.00 μB/f.u. For the formation energy, the calculation gives -0.25 eV/atom.

The structure belongs to space group F-43m (No. 216); the cell edges are 6.368, 6.368 and 6.368 Å and the angles 90.00°, 90.00° and 90.00°. The distinct sites, in fractional coordinates, are Mg at (0.000, 0.000, 0.000), Mg at (0.250, 0.250, 0.250), Ni at (0.250, 0.250, 0.750) and Au at (0.000, 0.000, 0.500).

---

2.
Mg2NiAu | PBE | relaxed

The size of the total moment comes out at 0.00 μB/f.u. For the formation energy, the calculation gives -0.21 eV/atom.

The structure belongs to space group P4mm (No. 99); the cell edges are 3.379, 3.379 and 5.884 Å and the angles 90.00°, 90.00° and 90.00°. The distinct sites, in fractional coordinates, are Mg at (0.000, 0.000, 0.000), Mg at (0.500, 0.500, 0.315), Ni at (0.000, 0.000, 0.517) and Au at (0.500, 0.500, 0.772).

---

3.
Mg4NiAu | PBE | relaxed

The size of the total moment comes out at 0.00 μB/f.u. For the formation energy, the calculation gives -0.20 eV/atom. As for the energy above the most stable polymorph in this dataset: 0 meV per atom.

The structure belongs to space group P4/mmm (No. 123); the cell edges are 4.448, 4.448 and 6.329 Å and the angles 90.00°, 90.00° and 90.00°. The distinct sites, in fractional coordinates, are Mg at (0.000, 0.500, 0.235), Ni at (0.000, 0.000, 0.000) and Au at (0.500, 0.500, 0.500).

---

4.
Mg2NiAu | PBE | relaxed

The size of the total moment comes out at 0.00 μB/f.u. For the formation energy, the calculation gives -0.06 eV/atom.

The structure belongs to space group I-42d (No. 122); the cell edges are 7.093, 7.093 and 5.564 Å and the angles 90.00°, 90.00° and 90.00°. The distinct sites, in fractional coordinates, are Mg at (0.230, 0.250, 0.125), Ni at (0.000, 0.000, 0.000) and Au at (0.000, 0.000, 0.500).